Below is a relaxed structure of ZrSi, with properties calculated at the PBE level.

```
2
Lattice="3.159 0.000 0.000 -1.580 2.736 0.000 0.000 0.000 4.342" Properties=species:S:1:pos:R:3 pbc="T T T"
Si 0.000 0.000 0.000
Zr 1.580 0.912 2.171
```

Computed properties:
E_tot (eV per atom): -7.37
Energy relative to the elements, uncorrected (meV per atom): -386
Symmetry: P-6m2


Below is a relaxed structure of CsScMo2Au, with properties calculated at the PBE level.

```
5
Lattice="5.300 0.000 0.000 0.000 5.950 0.000 0.000 0.000 5.300" Properties=species:S:1:pos:R:3 pbc="T T T"
Cs 0.000 2.975 0.000
Sc 2.650 2.975 2.650
Mo 0.000 0.000 2.650
Mo 2.650 0.000 0.000
Au 0.000 0.000 0.000
```

Computed properties:
E_tot (eV per atom): -4.45
Symmetry: P4/mmm


Below is a relaxed structure of CdMoOs2, with properties calculated at the PBE level.

```
4
Lattice="-2.065 -1.656 -0.936 -1.154 -0.643 3.683 -3.597 4.663 -0.313" Properties=species:S:1:pos:R:3 pbc="T T T"
Cd -2.509 0.016 1.295
Mo -4.307 2.348 1.139
Os -3.489 4.522 -0.304
Os -1.907 2.472 -0.166
```

Computed properties:
E_tot (eV per atom): -8.11
Symmetry: Pmmm


Below is a relaxed structure of Ga2PdRh2, with properties calculated at the PBE level.

```
10
Lattice="7.084 0.000 0.000 0.000 7.084 0.000 0.000 0.000 2.945" Properties=species:S:1:pos:R:3 pbc="T T T"
Rh 1.053 4.595 1.473
Rh 4.595 6.031 1.473
Rh 6.031 2.489 1.473
Rh 2.489 1.053 1.473
Ga 2.484 6.026 0.000
Ga 6.026 4.601 0.000
Ga 4.601 1.058 0.000
Ga 1.058 2.484 0.000
Pd 0.000 0.000 0.000
Pd 3.542 3.542 0.000
```

Computed properties:
E_tot (eV per atom): -5.72
Excess energy over the best structure of this formula in the dataset (meV per atom): 0.0
Symmetry: P4/mbm


Below is a relaxed structure of TbPuCd2, with properties calculated at the PBE level.

```
4
Lattice="-3.325 -0.913 -1.450 2.237 -0.453 -4.844 1.007 -5.173 0.949" Properties=species:S:1:pos:R:3 pbc="T T T"
Pu -1.663 -0.457 -0.725
Tb -0.041 -3.270 -2.673
Cd 0.504 -2.586 0.474
Cd 1.118 -0.227 -2.422
```

Computed properties:
E_tot (eV per atom): -5.33
Excess energy over the best structure of this formula in the dataset (meV per atom): 0.0
Symmetry: P4/mmm


Below is a relaxed structure of Dy2MgGa4Pt3, with properties calculated at the PBE level.

```
10
Lattice="-3.800 -1.375 0.464 -0.400 -0.260 -4.039 3.953 -10.822 0.305" Properties=species:S:1:pos:R:3 pbc="T T T"
Dy -0.951 -3.286 0.305
Dy 2.805 -8.354 -1.788
Mg -0.123 -6.229 -1.635
Ga -2.100 -0.817 -1.788
Ga 0.000 0.000 0.000
Ga 0.654 -7.678 0.429
Ga 1.200 -3.961 -1.912
Pt 1.977 -5.411 0.153
Pt 1.505 -10.008 0.495
Pt 0.349 -1.632 -1.977
```

Computed properties:
E_tot (eV per atom): -4.96
Symmetry: P-4m2


Below is a relaxed structure of Nd2Dy15Tm2, with properties calculated at the PBE level.

```
19
Lattice="8.401 -0.613 2.215 1.550 8.279 2.215 -0.796 -0.613 8.651" Properties=species:S:1:pos:R:3 pbc="T T T"
Nd 6.166 4.750 8.810
Nd 2.989 2.303 4.271
Dy 0.775 4.140 1.107
Dy -0.398 -0.307 4.326
Dy 4.200 -0.307 1.107
Dy 1.929 -0.613 6.744
Dy 6.371 2.022 2.215
Dy 0.855 5.644 4.122
Dy 3.580 5.644 2.215
Dy -0.101 2.022 6.744
Dy 5.676 -0.613 4.122
Dy 4.113 6.601 5.877
Dy 2.977 2.293 8.995
Dy 7.432 2.293 5.877
Dy 5.041 0.452 7.203
Dy 6.178 4.759 4.086
Dy 1.723 4.759 7.203
Tm 8.271 6.372 11.818
Tm 0.884 0.681 1.262
```

Computed properties:
E_tot (eV per atom): -4.33
Symmetry: R-3m


Below is a relaxed structure of ScCdRu2, with properties calculated at the PBE level.

```
4
Lattice="-1.895 2.306 -1.337 -3.807 -1.932 2.062 0.607 2.511 3.472" Properties=species:S:1:pos:R:3 pbc="T T T"
Cd -1.600 0.289 2.767
Ru 0.000 0.000 0.000
Ru -2.851 0.187 0.363
Sc -0.644 2.409 1.068
```

Computed properties:
E_tot (eV per atom): -6.39
Symmetry: Pmmm


- Among the records above, which one has the highest E_tot?
  Nd2Dy15Tm2


- Which value of E_tot does entry 4 give?
  -5.72 eV per atom


Repeat the fifth record exactly.
Below is a relaxed structure of TbPuCd2, with properties calculated at the PBE level.

```
4
Lattice="-3.325 -0.913 -1.450 2.237 -0.453 -4.844 1.007 -5.173 0.949" Properties=species:S:1:pos:R:3 pbc="T T T"
Pu -1.663 -0.457 -0.725
Tb -0.041 -3.270 -2.673
Cd 0.504 -2.586 0.474
Cd 1.118 -0.227 -2.422
```

Computed properties:
E_tot (eV per atom): -5.33
Excess energy over the best structure of this formula in the dataset (meV per atom): 0.0
Symmetry: P4/mmm


Repeat the first record exactly.
Below is a relaxed structure of ZrSi, with properties calculated at the PBE level.

```
2
Lattice="3.159 0.000 0.000 -1.580 2.736 0.000 0.000 0.000 4.342" Properties=species:S:1:pos:R:3 pbc="T T T"
Si 0.000 0.000 0.000
Zr 1.580 0.912 2.171
```

Computed properties:
E_tot (eV per atom): -7.37
Energy relative to the elements, uncorrected (meV per atom): -386
Symmetry: P-6m2